## Ba4GaIBr2 (GGA-PBE)

Data for a relaxed Ba4GaIBr2 crystal.

Results
The electronic total energy is -3.1934 eV/atom. The calculation puts the calculated density at 4.5 g/cm³. For the spin magnetization, the calculation gives 0.000 μB/atom.

Lattice parameters (Å, degrees): 8.4744 4.7161 8.8149 90.00 108.41 90.00
Space group P2/m (No. 10)
Asymmetric unit:
Ba 0.2392 0.0000 0.2305 (multiplicity 2)
Ba 0.2464 0.5000 0.7758 (multiplicity 2)
Ga 0.0000 0.5000 0.0000 (multiplicity 1)
I 0.0000 0.0000 0.5000 (multiplicity 1)
Br 0.5000 0.0000 0.0000 (multiplicity 1)
Br 0.5000 0.5000 0.5000 (multiplicity 1)